Record 1
Density functional theory data (PBE) for crystalline BeTlZnIrBr at its relaxed geometry.

* excess energy over the best structure of this formula in the dataset: 0.176 eV/atom

Unit cell a=4.002 b=3.389 c=15.692 alpha=90.00 beta=90.00 gamma=90.00
Space group Amm2 (No. 38)
One atom of each set of equivalent atoms:
Be1 0.000 0.000 0.000
Tl1 0.500 0.000 0.611
Zn1 0.500 0.000 0.908
Ir1 0.000 0.000 0.415
Br1 0.000 0.000 0.251


Record 2
Density functional theory data (PBE) for crystalline PtAuSe at its relaxed geometry.

* excess energy over the best structure of this formula in the dataset: 0.120 eV/atom

Unit cell a=3.572 b=3.585 c=9.181 alpha=90.00 beta=90.00 gamma=90.00
Space group Imm2 (No. 44)
One atom of each set of equivalent atoms:
Pt1 0.000 0.000 0.000
Au1 0.000 0.000 0.705
Se1 0.000 0.000 0.432